Here is a relaxed Sm5Se5S2 crystal from Alexandria. Energies are from PBE.

Lattice parameters (Å, degrees): 4.0426 7.0910 12.1595 104.91 90.00 106.56
Positions (direct):
Se1 0.7435 0.4870 0.3513
Se2 0.5000 0.0000 0.5000
Se3 0.6618 0.3236 0.0519
Se4 0.2565 0.5130 0.6487
Se5 0.3382 0.6764 0.9481
Sm1 0.8903 0.7805 0.5864
Sm2 0.6902 0.3804 0.8072
Sm3 0.3098 0.6196 0.1928
Sm4 0.0000 0.0000 0.0000
Sm5 0.1097 0.2195 0.4136
S1 0.9585 0.9170 0.2115
S2 0.0415 0.0830 0.7885

---

Here is a relaxed SbP2NCl crystal from Alexandria. Energies are from PBE.

Lattice parameters (Å, degrees): 5.1655 5.1655 5.0505 90.00 90.00 90.00
Positions (direct):
P1 0.0000 0.5000 0.0000
P2 0.5000 0.0000 0.0000
Cl1 0.0000 0.0000 0.5000
N1 0.5000 0.5000 0.5000
Sb1 0.0000 0.0000 0.0000

Calculated values
Distance to the lowest polymorph of the same formula ... 1075 meV/atom

---

Here is a relaxed YBeSbI2 crystal from Alexandria. Energies are from PBE.

Lattice parameters (Å, degrees): 5.0852 5.0852 5.4322 90.00 90.00 90.00
Positions (direct):
Be1 0.0000 0.0000 0.0000
Y1 0.5000 0.5000 0.5000
Sb1 0.0000 0.0000 0.5000
I1 0.0000 0.5000 0.0000
I2 0.5000 0.0000 0.0000

Calculated values
Distance to the lowest polymorph of the same formula ... 0 meV/atom

---

Here is a relaxed Li2BePO4 crystal from Alexandria. Energies are from PBE.

Lattice parameters (Å, degrees): 5.0131 5.0131 5.0131 78.44 126.89 126.89
Positions (direct):
P1 0.0000 0.5000 0.5000
Li1 0.0000 0.0000 0.0000
Li2 0.5000 0.7500 0.2500
O1 0.5772 0.3770 0.4473
O2 0.4228 0.8700 0.7998
O3 0.9297 0.5527 0.1300
O4 0.0703 0.2002 0.6230
Be1 0.5000 0.2500 0.7500

---

| no. | DOS(E_F) (states/eV/f.u.) | calculated total energy (eV per cell) |
| --- | --- | --- |
| 1 | 1.5 | -72.53 |
| 2 | 6.6 | -14.93 |
| 3 | 2.0 | -17.45 |
| 4 | 2.4 | -48.31 |